Record 1
# B3MoAu

A relaxed B3MoAu crystal (PBE, Alexandria).

a = 4.169 Å, b = 4.169 Å, c = 4.169 Å
α = 90.00°, β = 90.00°, γ = 90.00°
Positions (direct):
1 B 0.000 0.000 0.500
2 B 0.000 0.500 0.000
3 B 0.500 0.000 0.000
4 Mo 0.000 0.000 0.000
5 Au 0.500 0.500 0.500

Values from the calculation:
The excess energy over the best structure of this formula in the dataset is 0.0 meV/atom. The density of states at the Fermi level is 0.461 states/eV per atom. As for the magnetic moment: 0.0 μB per cell. For the final energy, the calculation gives -5.3346 eV/atom. As for the crystal system: cubic. The energy relative to the elements comes out at 1.494 eV/atom. The value obtained for the volume is 72 Å³ per cell.

=====

Record 2
# MgTl2Re

A relaxed MgTl2Re crystal (PBE, Alexandria).

a = 2.989 Å, b = 5.065 Å, c = 5.765 Å
α = 90.00°, β = 104.02°, γ = 90.00°
Positions (direct):
1 Mg 0.000 0.000 0.000
2 Tl 0.362 0.500 0.693
3 Tl 0.730 0.000 0.454
4 Re 0.572 0.500 0.194

Values from the calculation:
The excess energy over the best structure of this formula in the dataset is 103.8 meV/atom. The density of states at the Fermi level is 0.802 states/eV per atom. As for the magnetic moment: 0.0 μB per cell. For the final energy, the calculation gives -4.0020 eV/atom. As for the crystal system: monoclinic. The energy relative to the elements comes out at 0.692 eV/atom. The value obtained for the volume is 85 Å³ per cell.

=====

Question: Which formula does entry 2 have?
Answer: MgTl2Re

=====

Question: What is the magnetic moment in the first record?
Answer: 0.0 μB per cell